Entry from the Alexandria database: crystalline PrNd2Dy5Th at its relaxed geometry (PBE).

```
data_PrNd2Dy5Th
_cell_length_a 5.672
_cell_length_b 10.481
_cell_length_c 10.546
_cell_angle_alpha 90.00
_cell_angle_beta 90.00
_cell_angle_gamma 105.70
_space_group_name_H-M_alt 'P 1'
_space_group_IT_number 1
loop_
_space_group_symop_operation_xyz
'x,y,z'
loop_
_atom_site_label
_atom_site_type_symbol
_atom_site_fract_x
_atom_site_fract_y
_atom_site_fract_z
Dy1 Dy 0.521 0.043 0.237
Dy2 Dy 0.388 0.776 0.024
Dy3 Dy 0.276 0.553 0.317
Dy4 Dy 0.298 0.596 0.710
Dy5 Dy 0.983 0.967 0.524
Dy6 Dy 0.017 0.033 0.024
Dy7 Dy 0.724 0.447 0.817
Dy8 Dy 0.479 0.957 0.737
Dy9 Dy 0.702 0.404 0.210
Dy10 Dy 0.612 0.224 0.524
Nd1 Nd 0.116 0.233 0.729
Nd2 Nd 0.114 0.228 0.320
Nd3 Nd 0.884 0.767 0.229
Nd4 Nd 0.886 0.772 0.820
Th1 Th 0.798 0.596 0.514
Th2 Th 0.202 0.404 0.014
Pr1 Pr 0.587 0.174 0.950
Pr2 Pr 0.413 0.826 0.450
```

Values from the calculation:
Crystal system = orthorhombic
Calculated formation energy = 0.162 eV/atom
SG = Cmc2_1, No. 36
Total energy = -4.809 eV/atom
N(E_F) = 1.56 states/eV per atom



Entry from the Alexandria database: crystalline Pt6RhW at its relaxed geometry (PBE).

```
data_Pt6RhW
_cell_length_a 3.960
_cell_length_b 3.960
_cell_length_c 8.375
_cell_angle_alpha 76.32
_cell_angle_beta 76.32
_cell_angle_gamma 90.00
_space_group_name_H-M_alt 'P 1'
_space_group_IT_number 1
loop_
_space_group_symop_operation_xyz
'x,y,z'
loop_
_atom_site_label
_atom_site_type_symbol
_atom_site_fract_x
_atom_site_fract_y
_atom_site_fract_z
Pt1 Pt 0.881 0.381 0.237
Pt2 Pt 0.619 0.119 0.763
Pt3 Pt 0.246 0.246 0.507
Pt4 Pt 0.381 0.881 0.237
Pt5 Pt 0.754 0.754 0.493
Pt6 Pt 0.119 0.619 0.763
Rh1 Rh 0.000 0.000 0.000
W1 W 0.500 0.500 0.000
```

Values from the calculation:
Crystal system = tetragonal
Calculated formation energy = -0.197 eV/atom
SG = I4/mmm, No. 139
Total energy = -7.266 eV/atom
N(E_F) = 1.24 states/eV per atom



Entry from the Alexandria database: crystalline ZrIrAu2 at its relaxed geometry (PBE).

```
data_ZrIrAu2
_cell_length_a 5.263
_cell_length_b 5.263
_cell_length_c 5.263
_cell_angle_alpha 135.56
_cell_angle_beta 135.61
_cell_angle_gamma 64.62
_space_group_name_H-M_alt 'P 1'
_space_group_IT_number 1
loop_
_space_group_symop_operation_xyz
'x,y,z'
loop_
_atom_site_label
_atom_site_type_symbol
_atom_site_fract_x
_atom_site_fract_y
_atom_site_fract_z
Au1 Au 0.000 0.000 0.000
Au2 Au 0.500 0.500 0.000
Ir1 Ir 0.750 0.250 0.500
Zr1 Zr 0.250 0.750 0.500
```

Values from the calculation:
Crystal system = tetragonal
Calculated formation energy = -0.463 eV/atom
SG = I4/mmm, No. 139
Total energy = -6.454 eV/atom
N(E_F) = 0.39 states/eV per atom



Entry from the Alexandria database: crystalline Re2SiCl at its relaxed geometry (PBE).

```
data_Re2SiCl
_cell_length_a 3.157
_cell_length_b 3.110
_cell_length_c 6.788
_cell_angle_alpha 89.96
_cell_angle_beta 90.00
_cell_angle_gamma 90.00
_space_group_name_H-M_alt 'P 1'
_space_group_IT_number 1
loop_
_space_group_symop_operation_xyz
'x,y,z'
loop_
_atom_site_label
_atom_site_type_symbol
_atom_site_fract_x
_atom_site_fract_y
_atom_site_fract_z
Si1 Si 0.500 0.250 0.250
Cl1 Cl 0.500 0.750 0.750
Re1 Re 0.000 0.750 0.428
Re2 Re 0.000 0.750 0.072
```

Values from the calculation:
Crystal system = orthorhombic
ΔE_f (raw) = 0.298 eV/atom
SG = Pmmm, No. 47
Total energy = -7.743 eV/atom
N(E_F) = 0.57 states/eV per atom



Entry from the Alexandria database: crystalline Rb3AgBi4 at its relaxed geometry (PBE).

```
data_Rb3AgBi4
_cell_length_a 7.185
_cell_length_b 7.056
_cell_length_c 13.596
_cell_angle_alpha 90.00
_cell_angle_beta 90.00
_cell_angle_gamma 90.00
_space_group_name_H-M_alt 'P 1'
_space_group_IT_number 1
loop_
_space_group_symop_operation_xyz
'x,y,z'
loop_
_atom_site_label
_atom_site_type_symbol
_atom_site_fract_x
_atom_site_fract_y
_atom_site_fract_z
Bi1 Bi 0.675 0.000 0.613
Bi2 Bi 0.002 0.725 0.500
Bi3 Bi 0.998 0.225 0.000
Bi4 Bi 0.675 0.000 0.387
Bi5 Bi 0.325 0.500 0.113
Bi6 Bi 0.002 0.275 0.500
Bi7 Bi 0.998 0.775 0.000
Bi8 Bi 0.325 0.500 0.887
Rb1 Rb 0.179 0.000 0.252
Rb2 Rb 0.505 0.000 0.000
Rb3 Rb 0.495 0.500 0.500
Rb4 Rb 0.179 0.000 0.748
Rb5 Rb 0.821 0.500 0.752
Rb6 Rb 0.821 0.500 0.248
Ag1 Ag 0.319 0.000 0.500
Ag2 Ag 0.681 0.500 0.000
```

Values from the calculation:
Crystal system = orthorhombic
Calculated formation energy = -0.147 eV/atom
SG = Pmmn, No. 59
Total energy = -2.807 eV/atom
N(E_F) = 0.86 states/eV per atom



Entry from the Alexandria database: crystalline CaMnMo at its relaxed geometry (PBE).

```
data_CaMnMo
_cell_length_a 3.193
_cell_length_b 3.193
_cell_length_c 6.755
_cell_angle_alpha 90.00
_cell_angle_beta 90.00
_cell_angle_gamma 120.00
_space_group_name_H-M_alt 'P 1'
_space_group_IT_number 1
loop_
_space_group_symop_operation_xyz
'x,y,z'
loop_
_atom_site_label
_atom_site_type_symbol
_atom_site_fract_x
_atom_site_fract_y
_atom_site_fract_z
Mn1 Mn 0.667 0.333 0.387
Ca1 Ca 0.000 0.000 0.011
Mo1 Mo 0.333 0.667 0.602
```

Values from the calculation:
Crystal system = trigonal
Calculated formation energy = 0.719 eV/atom
SG = P3m1, No. 156
Total energy = -6.615 eV/atom
N(E_F) = 1.05 states/eV per atom



Entry from the Alexandria database: crystalline BaHgAs2 at its relaxed geometry (PBE).

```
data_BaHgAs2
_cell_length_a 6.250
_cell_length_b 6.250
_cell_length_c 6.250
_cell_angle_alpha 46.04
_cell_angle_beta 46.04
_cell_angle_gamma 46.04
_space_group_name_H-M_alt 'P 1'
_space_group_IT_number 1
loop_
_space_group_symop_operation_xyz
'x,y,z'
loop_
_atom_site_label
_atom_site_type_symbol
_atom_site_fract_x
_atom_site_fract_y
_atom_site_fract_z
As1 As 0.045 0.045 0.045
As2 As 0.455 0.455 0.455
Hg1 Hg 0.750 0.750 0.750
Ba1 Ba 0.250 0.250 0.250
```

Values from the calculation:
Crystal system = trigonal
Calculated formation energy = -0.321 eV/atom
SG = R-3m, No. 166
Total energy = -3.202 eV/atom
N(E_F) = 0.54 states/eV per atom



Entry from the Alexandria database: crystalline OsRu2Cl at its relaxed geometry (PBE).

```
data_OsRu2Cl
_cell_length_a 3.894
_cell_length_b 2.811
_cell_length_c 5.487
_cell_angle_alpha 75.11
_cell_angle_beta 90.00
_cell_angle_gamma 90.00
_space_group_name_H-M_alt 'P 1'
_space_group_IT_number 1
loop_
_space_group_symop_operation_xyz
'x,y,z'
loop_
_atom_site_label
_atom_site_type_symbol
_atom_site_fract_x
_atom_site_fract_y
_atom_site_fract_z
Os1 Os 0.500 0.555 0.765
Ru1 Ru 0.500 0.312 0.251
Ru2 Ru 0.000 0.935 0.006
Cl1 Cl 0.000 0.699 0.477
```

Values from the calculation:
Crystal system = orthorhombic
ΔE_f (raw) = 0.727 eV/atom
SG = Amm2, No. 38
Total energy = -7.180 eV/atom
N(E_F) = 0.97 states/eV per atom



Entry from the Alexandria database: crystalline NdIn6Ag at its relaxed geometry (PBE).

```
data_NdIn6Ag
_cell_length_a 4.851
_cell_length_b 6.699
_cell_length_c 6.699
_cell_angle_alpha 70.54
_cell_angle_beta 90.00
_cell_angle_gamma 90.00
_space_group_name_H-M_alt 'P 1'
_space_group_IT_number 1
loop_
_space_group_symop_operation_xyz
'x,y,z'
loop_
_atom_site_label
_atom_site_type_symbol
_atom_site_fract_x
_atom_site_fract_y
_atom_site_fract_z
Ag1 Ag 0.500 0.500 0.500
In1 In 0.500 0.000 0.500
In2 In 0.500 0.500 0.000
In3 In 0.000 0.298 0.702
In4 In 0.000 0.218 0.218
In5 In 0.000 0.702 0.298
In6 In 0.000 0.782 0.782
Nd1 Nd 0.500 0.000 0.000
```

Values from the calculation:
Crystal system = orthorhombic
Calculated formation energy = -0.171 eV/atom
SG = Cmmm, No. 65
Total energy = -3.178 eV/atom
N(E_F) = 0.35 states/eV per atom



Entry from the Alexandria database: crystalline La2YMgNi at its relaxed geometry (PBE).

```
data_La2YMgNi
_cell_length_a 5.366
_cell_length_b 5.366
_cell_length_c 5.539
_cell_angle_alpha 90.00
_cell_angle_beta 90.00
_cell_angle_gamma 90.00
_space_group_name_H-M_alt 'P 1'
_space_group_IT_number 1
loop_
_space_group_symop_operation_xyz
'x,y,z'
loop_
_atom_site_label
_atom_site_type_symbol
_atom_site_fract_x
_atom_site_fract_y
_atom_site_fract_z
La1 La 0.500 0.000 0.000
La2 La 0.000 0.500 0.000
Ni1 Ni 0.000 0.000 0.000
Mg1 Mg 0.500 0.500 0.500
Y1 Y 0.000 0.000 0.500
```

Values from the calculation:
Crystal system = tetragonal
Calculated formation energy = -0.065 eV/atom
SG = P4/mmm, No. 123
Total energy = -4.804 eV/atom
N(E_F) = 1.77 states/eV per atom



Entry from the Alexandria database: crystalline SrIn2Ni2Ge at its relaxed geometry (PBE).

```
data_SrIn2Ni2Ge
_cell_length_a 4.525
_cell_length_b 4.525
_cell_length_c 6.266
_cell_angle_alpha 90.00
_cell_angle_beta 90.00
_cell_angle_gamma 90.00
_space_group_name_H-M_alt 'P 1'
_space_group_IT_number 1
loop_
_space_group_symop_operation_xyz
'x,y,z'
loop_
_atom_site_label
_atom_site_type_symbol
_atom_site_fract_x
_atom_site_fract_y
_atom_site_fract_z
Ge1 Ge 0.000 0.000 0.000
Sr1 Sr 0.000 0.000 0.500
Ni1 Ni 0.500 0.000 0.000
Ni2 Ni 0.000 0.500 0.000
In1 In 0.500 0.500 0.251
In2 In 0.500 0.500 0.749
```

Values from the calculation:
Crystal system = tetragonal
Calculated formation energy = -0.267 eV/atom
SG = P4/mmm, No. 123
Total energy = -4.157 eV/atom
N(E_F) = 0.52 states/eV per atom



Entry from the Alexandria database: crystalline ZnTeRuN2 at its relaxed geometry (PBE).

```
data_ZnTeRuN2
_cell_length_a 3.847
_cell_length_b 3.847
_cell_length_c 5.912
_cell_angle_alpha 90.00
_cell_angle_beta 90.00
_cell_angle_gamma 90.00
_space_group_name_H-M_alt 'P 1'
_space_group_IT_number 1
loop_
_space_group_symop_operation_xyz
'x,y,z'
loop_
_atom_site_label
_atom_site_type_symbol
_atom_site_fract_x
_atom_site_fract_y
_atom_site_fract_z
N1 N 0.000 0.500 0.000
N2 N 0.500 0.000 0.000
Zn1 Zn 0.000 0.000 0.000
Ru1 Ru 0.500 0.500 0.500
Te1 Te 0.000 0.000 0.500
```

Values from the calculation:
Crystal system = tetragonal
ΔE_f (raw) = 1.792 eV/atom
SG = P4/mmm, No. 123
Total energy = -4.277 eV/atom
N(E_F) = 0.75 states/eV per atom